The following is a PBE calculation of a geometry-optimized GeSbPd structure, from Alexandria.

Values from the calculation:
ΔE to the lowest computed polymorph (meV/atom): 79.2
VASP energy (eV/f.u.): -14.61
Raw formation energy (eV per formula unit): -0.68

abc: 6.3653 6.3653 6.3653
angles: 90.00 90.00 90.00
Closest atoms and distances in Å follow each position.
Space group F-43m (No. 216)
Unique sites:
Ge 0.0000 0.0000 0.0000 (multiplicity 4)  4 Pd 2.76
Sb 0.0000 0.0000 0.5000 (multiplicity 4)  4 Pd 2.76
Pd 0.2500 0.2500 0.7500 (multiplicity 4)  4 Ge 2.76, 4 Sb 2.76



The following is a PBE calculation of a geometry-optimized Ge2Sb2Pd structure, from Alexandria.

Values from the calculation:
ΔE to the lowest computed polymorph (meV/atom): 115.9
VASP energy (eV/f.u.): -21.74
Raw formation energy (eV per formula unit): 0.93

abc: 7.3118 7.3118 4.3858
angles: 90.00 90.00 90.00
Closest atoms and distances in Å follow each position.
Space group P4/mbm (No. 127)
Unique sites:
Ge 0.1307 0.3693 0.0000 (multiplicity 4)  1 Ge 2.70, 2 Sb 3.00
Sb 0.1713 0.6713 0.5000 (multiplicity 4)  2 Pd 2.71, 2 Ge 3.00
Pd 0.0000 0.0000 0.5000 (multiplicity 2)  4 Sb 2.71



The following is a PBE calculation of a geometry-optimized GeSb2Pd8 structure, from Alexandria.

Values from the calculation:
ΔE to the lowest computed polymorph (meV/atom): 26.7
VASP energy (eV/f.u.): -58.78
Raw formation energy (eV per formula unit): -4.37

abc: 4.1215 7.6000 11.8655
angles: 90.00 90.00 90.00
Closest atoms and distances in Å follow each position.
Space group Immm (No. 71)
Unique sites:
Ge 0.0000 0.0000 0.0000 (multiplicity 2)  8 Pd 2.56-2.80
Sb 0.0000 0.0000 0.3117 (multiplicity 4)  8 Pd 2.66-2.73
Pd 0.0000 0.1893 0.5000 (multiplicity 4)  2 Sb 2.66, 7 Pd 2.80-2.88
Pd 0.0000 0.2674 0.1617 (multiplicity 8)  3 Sb 2.70-2.73, 1 Ge 2.80, 6 Pd 2.84-2.95
Pd 0.0000 0.5000 0.3727 (multiplicity 4)  2 Ge 2.56, 2 Pd 2.80



The following is a PBE calculation of a geometry-optimized Ge2Sb2Pd5 structure, from Alexandria.

Values from the calculation:
VASP energy (eV/f.u.): -46.34
Raw formation energy (eV per formula unit): -2.89

abc: 12.2377 4.5619 7.6772
angles: 90.00 122.98 90.00
Closest atoms and distances in Å follow each position.
Space group C2/m (No. 12)
Unique sites:
Ge 0.1273 0.0000 0.4068 (multiplicity 4)  6 Pd 2.50-2.62
Sb 0.1289 0.5000 0.9210 (multiplicity 4)  5 Pd 2.63-2.87
Pd 0.0000 0.0000 0.0000 (multiplicity 2)  2 Ge 2.62
Pd 0.1106 0.0000 0.7170 (multiplicity 4)  2 Ge 2.50-2.52, 2 Sb 2.71
Pd 0.1434 0.5000 0.2754 (multiplicity 4)  3 Ge 2.52-2.54, 2 Sb 2.63-2.81



Number 1: density of states at the Fermi level 7.5 states/eV per cell. Number 2: density of states at the Fermi level 4.6 states/eV per cell. Number 3: density of states at the Fermi level 9.2 states/eV per cell. Number 4: density of states at the Fermi level 7.9 states/eV per cell.